This record from Alexandria describes crystalline LiSm2Sn2 at its relaxed geometry. The functional is PBE.

Cell: 6.604 13.039 6.428 Å, 90.00 90.00 90.00°
Space group Ibam (No. 72)
Symmetry-distinct sites (fractional):
Li (0.000, 0.000, 0.250)
Sm (0.215, 0.362, 0.000)
Sn (0.234, 0.118, 0.000)

Calculated values
As for the theoretical density: 6.5 g/cm³. Its crystal system is orthorhombic. For the calculated formation energy, the calculation gives -0.56 eV per atom. As for the electronic total energy: -4.433 eV/atom.

=====

This record from Alexandria describes crystalline Li3Sm2Sn2 at its relaxed geometry. The functional is PBE.

Cell: 10.763 4.851 6.558 Å, 90.00 103.40 90.00°
Space group C2/m (No. 12)
Symmetry-distinct sites (fractional):
Li (0.000, 0.000, 0.000)
Li (0.109, 0.000, 0.430)
Sm (0.148, 0.500, 0.761)
Sn (0.154, 0.500, 0.250)

Calculated values
As for the theoretical density: 5.6 g/cm³. Its crystal system is monoclinic. For the calculated formation energy, the calculation gives -0.49 eV per atom. As for the electronic total energy: -3.799 eV/atom.

=====

This record from Alexandria describes crystalline LiSmSn3 at its relaxed geometry. The functional is PBE.

Cell: 13.154 6.205 6.239 Å, 90.00 90.00 90.00°
Space group Pbcm (No. 57)
Symmetry-distinct sites (fractional):
Li (0.107, 0.250, 0.000)
Sm (0.310, 0.003, 0.250)
Sn (0.081, 0.684, 0.750)
Sn (0.263, 0.002, 0.750)
Sn (0.497, 0.750, 0.000)

Calculated values
As for the theoretical density: 6.7 g/cm³. Its crystal system is orthorhombic. For the calculated formation energy, the calculation gives -0.42 eV per atom. As for the electronic total energy: -4.147 eV/atom.

=====

This record from Alexandria describes crystalline Li4Sm3Sn4 at its relaxed geometry. The functional is PBE.

Cell: 3.688 4.789 29.692 Å, 90.00 90.00 90.00°
Space group Immm (No. 71)
Symmetry-distinct sites (fractional):
Li (0.000, 0.000, 0.093)
Li (0.000, 0.500, 0.242)
Sm (0.000, 0.000, 0.359)
Sm (0.000, 0.500, 0.500)
Sn (0.000, 0.000, 0.184)
Sn (0.000, 0.500, 0.050)

Calculated values
As for the theoretical density: 6.0 g/cm³. Its crystal system is orthorhombic. For the calculated formation energy, the calculation gives -0.56 eV per atom. As for the electronic total energy: -3.994 eV/atom. The energy above the lowest structure with this stoichiometry comes out at 0.086 eV per atom.

=====

This record from Alexandria describes crystalline LiSm2Sn9 at its relaxed geometry. The functional is PBE.

Cell: 4.687 4.687 14.313 Å, 90.00 90.00 90.00°
Space group P4/mmm (No. 123)
Symmetry-distinct sites (fractional):
Li (0.000, 0.000, 0.000)
Sm (0.000, 0.000, 0.336)
Sn (0.000, 0.500, 0.159)
Sn (0.000, 0.500, 0.500)
Sn (0.500, 0.500, 0.000)
Sn (0.500, 0.500, 0.327)

Calculated values
As for the theoretical density: 7.3 g/cm³. Its crystal system is tetragonal. For the calculated formation energy, the calculation gives -0.37 eV per atom. As for the electronic total energy: -4.317 eV/atom.

=====

This record from Alexandria describes crystalline LiSmSn at its relaxed geometry. The functional is PBE.

Cell: 4.226 4.226 8.853 Å, 90.00 90.00 90.00°
Space group I4mm (No. 107)
Symmetry-distinct sites (fractional):
Li (0.000, 0.000, 0.000)
Sm (0.000, 0.000, 0.329)
Sn (0.000, 0.000, 0.682)

Calculated values
As for the theoretical density: 5.8 g/cm³. Its crystal system is tetragonal. For the calculated formation energy, the calculation gives -0.30 eV per atom. As for the electronic total energy: -3.848 eV/atom.

=====

This record from Alexandria describes crystalline Li2SmSn4 at its relaxed geometry. The functional is PBE.

Cell: 7.167 7.167 7.189 Å, 90.00 90.00 90.00°
Space group I4/mmm (No. 139)
Symmetry-distinct sites (fractional):
Li (0.000, 0.500, 0.000)
Sm (0.000, 0.000, 0.000)
Sn (0.250, 0.250, 0.250)

Calculated values
As for the theoretical density: 5.7 g/cm³. Its crystal system is tetragonal. For the calculated formation energy, the calculation gives -0.30 eV per atom. As for the electronic total energy: -3.808 eV/atom.

=====

This record from Alexandria describes crystalline LiSm3Sn3 at its relaxed geometry. The functional is PBE.

Cell: 9.3723 9.3723 6.2247 Å, 90.00 90.00 120.00°
Space group P6_3/m (No. 176)
Symmetry-distinct sites (fractional):
Li (0.3333, 0.6667, 0.2500)
Sm (0.0430, 0.3522, 0.7500)
Sn (0.0378, 0.3576, 0.2500)

Calculated values
As for the theoretical density: 5.7 g/cm³. Its crystal system is hexagonal. For the calculated formation energy, the calculation gives -0.39 eV per atom. As for the electronic total energy: -4.399 eV/atom. The energy above the lowest structure with this stoichiometry comes out at 0.311 eV per atom.

=====

This record from Alexandria describes crystalline LiSmSn5 at its relaxed geometry. The functional is PBE.

Cell: 4.521 4.521 8.948 Å, 90.00 90.00 90.00°
Space group P4/mmm (No. 123)
Symmetry-distinct sites (fractional):
Li (0.000, 0.000, 0.000)
Sm (0.500, 0.500, 0.500)
Sn (0.000, 0.000, 0.500)
Sn (0.000, 0.500, 0.211)

Calculated values
As for the theoretical density: 6.8 g/cm³. Its crystal system is tetragonal. For the calculated formation energy, the calculation gives -0.33 eV per atom. As for the electronic total energy: -4.137 eV/atom.

=====

This record from Alexandria describes crystalline Li6SmSn6 at its relaxed geometry. The functional is PBE.

Cell: 5.8264 5.8264 9.3466 Å, 90.00 90.00 120.00°
Space group P6/mmm (No. 191)
Symmetry-distinct sites (fractional):
Li (0.0000, 0.5000, 0.2467)
Sm (0.0000, 0.0000, 0.0000)
Sn (0.0000, 0.0000, 0.3474)
Sn (0.3333, 0.6667, 0.0000)
Sn (0.3333, 0.6667, 0.5000)

Calculated values
As for the theoretical density: 5.5 g/cm³. Its crystal system is hexagonal. For the calculated formation energy, the calculation gives -0.37 eV per atom. As for the electronic total energy: -3.469 eV/atom. The energy above the lowest structure with this stoichiometry comes out at 0.011 eV per atom.

=====

This record from Alexandria describes crystalline LiSmSn2 at its relaxed geometry. The functional is PBE.

Cell: 4.668 4.668 4.507 Å, 90.00 90.00 90.00°
Space group P4/mmm (No. 123)
Symmetry-distinct sites (fractional):
Li (0.000, 0.000, 0.000)
Sm (0.500, 0.500, 0.000)
Sn (0.000, 0.500, 0.500)

Calculated values
As for the theoretical density: 6.7 g/cm³. Its crystal system is tetragonal. For the calculated formation energy, the calculation gives -0.58 eV per atom. As for the electronic total energy: -4.241 eV/atom. The energy above the lowest structure with this stoichiometry comes out at 0.000 eV per atom.

=====

This record from Alexandria describes crystalline Li3SmSn2 at its relaxed geometry. The functional is PBE.

Cell: 14.022 4.691 9.032 Å, 90.00 117.82 90.00°
Space group C2/m (No. 12)
Symmetry-distinct sites (fractional):
Li (0.052, 0.000, 0.380)
Li (0.094, 0.500, 0.684)
Li (0.217, 0.500, 0.536)
Sm (0.141, 0.000, 0.022)
Sn (0.046, 0.500, 0.189)
Sn (0.211, 0.000, 0.723)

Calculated values
As for the theoretical density: 5.2 g/cm³. Its crystal system is monoclinic. For the calculated formation energy, the calculation gives -0.49 eV per atom. As for the electronic total energy: -3.563 eV/atom.

=====

This record from Alexandria describes crystalline LiSmSn6 at its relaxed geometry. The functional is PBE.

Cell: 4.671 4.671 9.468 Å, 90.00 90.00 90.00°
Space group P4/mmm (No. 123)
Symmetry-distinct sites (fractional):
Li (0.000, 0.000, 0.000)
Sm (0.000, 0.000, 0.500)
Sn (0.000, 0.500, 0.240)
Sn (0.500, 0.500, 0.000)
Sn (0.500, 0.500, 0.500)

Calculated values
As for the theoretical density: 7.0 g/cm³. Its crystal system is tetragonal. For the calculated formation energy, the calculation gives -0.31 eV per atom. As for the electronic total energy: -4.137 eV/atom.

=====

This record from Alexandria describes crystalline Li3SmSn6 at its relaxed geometry. The functional is PBE.

Cell: 10.017 4.522 10.518 Å, 90.00 93.85 90.00°
Space group P2_1/m (No. 11)
Symmetry-distinct sites (fractional):
Li (0.059, 0.250, 0.410)
Li (0.159, 0.750, 0.190)
Li (0.244, 0.250, 0.999)
Sm (0.424, 0.250, 0.620)
Sn (0.028, 0.750, 0.893)
Sn (0.110, 0.250, 0.702)
Sn (0.234, 0.750, 0.473)
Sn (0.321, 0.750, 0.815)
Sn (0.334, 0.250, 0.297)
Sn (0.448, 0.750, 0.092)

Calculated values
As for the theoretical density: 6.2 g/cm³. Its crystal system is monoclinic. For the calculated formation energy, the calculation gives -0.34 eV per atom. As for the electronic total energy: -3.789 eV/atom.

=====

This record from Alexandria describes crystalline LiSmSn2 at its relaxed geometry. The functional is PBE.

Cell: 4.6008 4.6008 16.1613 Å, 90.00 90.00 120.00°
Space group R-3m (No. 166, hexagonal axes)
Symmetry-distinct sites (fractional):
Li (0.0000, 0.0000, 0.0000)
Sm (0.0000, 0.0000, 0.5000)
Sn (0.0000, 0.0000, 0.2780)

Calculated values
As for the theoretical density: 6.6 g/cm³. Its crystal system is trigonal. For the calculated formation energy, the calculation gives -0.49 eV per atom. As for the electronic total energy: -4.151 eV/atom. The energy above the lowest structure with this stoichiometry comes out at 0.090 eV per atom.

=====

This record from Alexandria describes crystalline Li2SmSn9 at its relaxed geometry. The functional is PBE.

Cell: 4.632 4.632 14.293 Å, 90.00 90.00 90.00°
Space group P4/mmm (No. 123)
Symmetry-distinct sites (fractional):
Li (0.000, 0.000, 0.166)
Sm (0.000, 0.000, 0.500)
Sn (0.000, 0.500, 0.000)
Sn (0.000, 0.500, 0.325)
Sn (0.500, 0.500, 0.162)
Sn (0.500, 0.500, 0.500)

Calculated values
As for the theoretical density: 6.7 g/cm³. Its crystal system is tetragonal. For the calculated formation energy, the calculation gives -0.25 eV per atom. As for the electronic total energy: -3.963 eV/atom.

=====

This record from Alexandria describes crystalline LiSmSn2 at its relaxed geometry. The functional is PBE.

Cell: 7.431 7.431 7.431 Å, 90.00 90.00 90.00°
Space group Fm-3m (No. 225)
Symmetry-distinct sites (fractional):
Li (0.000, 0.000, 0.000)
Sm (0.000, 0.000, 0.500)
Sn (0.250, 0.250, 0.250)

Calculated values
As for the theoretical density: 6.4 g/cm³. Its crystal system is cubic. For the calculated formation energy, the calculation gives -0.41 eV per atom. As for the electronic total energy: -4.073 eV/atom. The energy above the lowest structure with this stoichiometry comes out at 0.168 eV per atom.

=====

This record from Alexandria describes crystalline LiSmSn at its relaxed geometry. The functional is PBE.

Cell: 6.669 6.669 6.669 Å, 90.00 90.00 90.00°
Space group F-43m (No. 216)
Symmetry-distinct sites (fractional):
Li (0.000, 0.000, 0.000)
Sm (0.250, 0.250, 0.250)
Sn (0.250, 0.250, 0.750)

Calculated values
As for the theoretical density: 6.2 g/cm³. Its crystal system is cubic. For the calculated formation energy, the calculation gives -0.49 eV per atom. As for the electronic total energy: -4.030 eV/atom.

=====

This record from Alexandria describes crystalline Li6SmSn6 at its relaxed geometry. The functional is PBE.

Cell: 5.782 9.450 9.969 Å, 90.00 90.00 90.00°
Space group Immm (No. 71)
Symmetry-distinct sites (fractional):
Li (0.000, 0.250, 0.000)
Li (0.250, 0.250, 0.250)
Sm (0.000, 0.000, 0.500)
Sn (0.000, 0.000, 0.165)
Sn (0.000, 0.347, 0.500)
Sn (0.000, 0.500, 0.165)

Calculated values
As for the theoretical density: 5.5 g/cm³. Its crystal system is orthorhombic. For the calculated formation energy, the calculation gives -0.39 eV per atom. As for the electronic total energy: -3.479 eV/atom. The energy above the lowest structure with this stoichiometry comes out at 0.000 eV per atom.

=====

This record from Alexandria describes crystalline Li2SmSn2 at its relaxed geometry. The functional is PBE.

Cell: 4.326 4.326 12.458 Å, 90.00 90.00 90.00°
Space group I4/mmm (No. 139)
Symmetry-distinct sites (fractional):
Li (0.000, 0.500, 0.250)
Sm (0.000, 0.000, 0.000)
Sn (0.000, 0.000, 0.387)

Calculated values
As for the theoretical density: 5.7 g/cm³. Its crystal system is tetragonal. For the calculated formation energy, the calculation gives -0.53 eV per atom. As for the electronic total energy: -3.837 eV/atom. The energy above the lowest structure with this stoichiometry comes out at 0.000 eV per atom.